DFT (PBE) results for CsInAgBi2 after structural relaxation.

POSCAR file:
```
CsInAgBi2
1.0
4.6084 0.0000 0.0000
0.0000 4.6084 0.0000
0.0000 0.0000 17.1059
Cs In Ag Bi
2 2 2 4
Direct
0.0000 0.0000 0.0000
0.5000 0.5000 0.5000
0.0000 0.5000 0.2500
0.5000 0.0000 0.7500
0.0000 0.5000 0.7500
0.5000 0.0000 0.2500
0.0000 0.0000 0.3628
0.0000 0.0000 0.6372
0.5000 0.5000 0.1372
0.5000 0.5000 0.8628
```

The value obtained for the total energy is -14.954 eV per formula unit. The theoretical density comes out at 7.1 g/cm3. The symmetry is I-4m2.